{"formula": "Er6Mn2Ag", "functional": "PBE", "state": "relaxed", "ef_ev_per_fu": -0.259, "mass_density_g_cm3": 9.29, "sg": "No. 71", "dos_at_fermi_per_ev_atom": 1.131, "cell": [[-4.699, 4.748, 4.894], [4.699, -4.748, 4.894], [4.699, 4.748, -4.894]], "species": ["Er", "Er", "Er", "Er", "Er", "Er", "Er", "Er", "Er", "Er", "Er", "Er", "Mn", "Mn", "Mn", "Mn", "Ag", "Ag"], "frac_coords": [[0.018, 0.812, 0.205], [0.229, 0.519, 0.290], [0.229, 0.939, 0.710], [0.282, 0.312, 0.595], [0.282, 0.688, 0.970], [0.393, 0.188, 0.205], [0.607, 0.812, 0.795], [0.718, 0.312, 0.030], [0.718, 0.688, 0.405], [0.771, 0.061, 0.290], [0.771, 0.481, 0.710], [0.982, 0.188, 0.795], [0.000, 0.114, 0.114], [0.000, 0.886, 0.886], [0.394, 0.394, 0.000], [0.606, 0.606, 0.000], [0.000, 0.500, 0.500], [0.500, 0.000, 0.500]]}